# CdAgAu2 | Alexandria via LeMat-Bulk | PBEsol | relaxed
data_CdAgAu2
_chemical_formula_sum 'Cd1 Ag1 Au2'
_space_group_name_H-M_alt 'P m m 2'
_space_group_IT_number 25
_cell_length_a 2.962
_cell_length_b 4.723
_cell_length_c 4.964
_cell_angle_alpha 90.00
_cell_angle_beta 90.00
_cell_angle_gamma 90.00
loop_
_space_group_symop_operation_xyz
'x,y,z'
'-x,-y,z'
'-x,y,z'
'x,-y,z'
loop_
_atom_site_label
_atom_site_fract_x
_atom_site_fract_y
_atom_site_fract_z
Cd1 0.000 0.000 0.000
Ag1 0.000 0.500 0.654
Au1 0.500 0.000 0.502
Au2 0.500 0.500 0.157
# Crystal system = orthorhombic
# D(E_F) = 0.91 states/eV/f.u.
# E = -0.237 Ry/atom



# NaPbSeO2 | Alexandria via LeMat-Bulk | PBEsol | relaxed
data_NaPbSeO2
_chemical_formula_sum 'Na1 Pb1 Se1 O2'
_space_group_name_H-M_alt 'P 4/m m m'
_space_group_IT_number 123
_space_group_name_Hall '-P 4 2'
_cell_length_a 4.058
_cell_length_b 4.058
_cell_length_c 5.538
_cell_angle_alpha 90.00
_cell_angle_beta 90.00
_cell_angle_gamma 90.00
loop_
_atom_site_label
_atom_site_fract_x
_atom_site_fract_y
_atom_site_fract_z
Na1 0.000 0.000 0.000
Pb1 0.500 0.500 0.000
Se1 0.500 0.500 0.500
O1 0.000 0.500 0.500
# Crystal system = tetragonal
# D(E_F) = 2.63 states/eV/f.u.
# Formation energy without anion corrections = -0.0312 eV/atom



# LaMgAu2 | Alexandria via LeMat-Bulk | PBEsol | relaxed
data_LaMgAu2
_chemical_formula_sum 'La4 Mg4 Au8'
_space_group_name_H-M_alt 'F m -3 m'
_space_group_IT_number 225
_space_group_name_Hall '-F 4 2 3'
_cell_length_a 7.078
_cell_length_b 7.078
_cell_length_c 7.078
_cell_angle_alpha 90.00
_cell_angle_beta 90.00
_cell_angle_gamma 90.00
loop_
_atom_site_label
_atom_site_fract_x
_atom_site_fract_y
_atom_site_fract_z
La1 0.000 0.000 0.000
Mg1 0.000 0.000 0.500
Au1 0.250 0.250 0.250
# Crystal system = cubic
# D(E_F) = 2.42 states/eV/f.u.
# E = -0.326 Ry/atom



# CsBiSe2 | Alexandria via LeMat-Bulk | PBEsol | relaxed
data_CsBiSe2
_chemical_formula_sum 'Cs1 Bi1 Se2'
_space_group_name_H-M_alt 'P 3 m 1'
_space_group_IT_number 156
_cell_length_a 4.3070
_cell_length_b 4.3070
_cell_length_c 8.9627
_cell_angle_alpha 90.00
_cell_angle_beta 90.00
_cell_angle_gamma 120.00
loop_
_space_group_symop_operation_xyz
'x,y,z'
'-y,x-y,z'
'-x+y,-x,z'
'-y,-x,z'
'-x+y,y,z'
'x,x-y,z'
loop_
_atom_site_label
_atom_site_fract_x
_atom_site_fract_y
_atom_site_fract_z
Cs1 0.0000 0.0000 0.0000
Bi1 0.6667 0.3333 0.4469
Se1 0.0000 0.0000 0.6189
Se2 0.3333 0.6667 0.2598
# Crystal system = trigonal
# Formation energy without anion corrections = -0.6882 eV/atom



# RbSr2I5 | Alexandria via LeMat-Bulk | PBEsol | relaxed
data_RbSr2I5
_chemical_formula_sum 'Rb4 Sr8 I20'
_space_group_name_H-M_alt 'P 1 21/c 1'
_space_group_IT_number 14
_cell_length_a 10.012
_cell_length_b 8.920
_cell_length_c 14.162
_cell_angle_alpha 90.00
_cell_angle_beta 90.13
_cell_angle_gamma 90.00
loop_
_space_group_symop_operation_xyz
'x,y,z'
'-x,-y,-z'
'-x,y+1/2,-z+1/2'
'x,-y+1/2,z+1/2'
loop_
_atom_site_label
_atom_site_fract_x
_atom_site_fract_y
_atom_site_fract_z
Rb1 0.008 0.054 0.331
Sr1 0.251 0.575 0.493
Sr2 0.498 0.528 0.180
I1 0.040 0.177 0.082
I2 0.270 0.689 0.718
I3 0.282 0.164 0.816
I4 0.284 0.542 0.998
I5 0.458 0.164 0.098
# Crystal system = monoclinic
# D(E_F) = 0.00 states/eV/f.u.
# Formation energy without anion corrections = -1.6537 eV/atom



# Ta4Ni3 | Alexandria via LeMat-Bulk | PBEsol | relaxed
data_Ta4Ni3
_chemical_formula_sum 'Ta4 Ni3'
_space_group_name_H-M_alt 'P 6/m m m'
_space_group_IT_number 191
_space_group_name_Hall '-P 6 2'
_cell_length_a 4.8338
_cell_length_b 4.8338
_cell_length_c 4.9536
_cell_angle_alpha 90.00
_cell_angle_beta 90.00
_cell_angle_gamma 120.00
loop_
_atom_site_label
_atom_site_fract_x
_atom_site_fract_y
_atom_site_fract_z
Ta1 0.0000 0.0000 0.2469
Ta2 0.3333 0.6667 0.0000
Ni1 0.0000 0.5000 0.5000
# Crystal system = hexagonal
# D(E_F) = 7.20 states/eV/f.u.
# E = -0.738 Ry/atom



# Y2ScRh | Alexandria via LeMat-Bulk | PBEsol | relaxed
data_Y2ScRh
_chemical_formula_sum 'Y2 Sc1 Rh1'
_space_group_name_H-M_alt 'P 4/m m m'
_space_group_IT_number 123
_space_group_name_Hall '-P 4 2'
_cell_length_a 3.437
_cell_length_b 3.437
_cell_length_c 8.021
_cell_angle_alpha 90.00
_cell_angle_beta 90.00
_cell_angle_gamma 90.00
loop_
_atom_site_label
_atom_site_fract_x
_atom_site_fract_y
_atom_site_fract_z
Y1 0.000 0.000 0.201
Sc1 0.500 0.500 0.500
Rh1 0.500 0.500 0.000
# Crystal system = tetragonal
# Energy above the most stable polymorph in this dataset = 0.105 eV per atom
# D(E_F) = 5.37 states/eV/f.u.



# Be2FeAg | Alexandria via LeMat-Bulk | PBEsol | relaxed
data_Be2FeAg
_chemical_formula_sum 'Be4 Fe2 Ag2'
_space_group_name_H-M_alt 'C 1 m 1'
_space_group_IT_number 8
_cell_length_a 8.572
_cell_length_b 2.554
_cell_length_c 4.113
_cell_angle_alpha 90.00
_cell_angle_beta 107.44
_cell_angle_gamma 90.00
loop_
_space_group_symop_operation_xyz
'x,y,z'
'x,-y,z'
'x+1/2,y+1/2,z'
'x+1/2,-y+1/2,z'
loop_
_atom_site_label
_atom_site_fract_x
_atom_site_fract_y
_atom_site_fract_z
Be1 0.000 0.000 0.000
Be2 0.217 0.500 0.333
Fe1 0.249 0.000 0.867
Ag1 0.469 0.000 0.489
# Crystal system = monoclinic
# D(E_F) = 2.63 states/eV/f.u.
# E = -0.361 Ry/atom



# Hg3PW | Alexandria via LeMat-Bulk | PBEsol | relaxed
data_Hg3PW
_chemical_formula_sum 'Hg3 P1 W1'
_space_group_name_H-M_alt 'P m -3 m'
_space_group_IT_number 221
_space_group_name_Hall '-P 4 2 3'
_cell_length_a 5.225
_cell_length_b 5.225
_cell_length_c 5.225
_cell_angle_alpha 90.00
_cell_angle_beta 90.00
_cell_angle_gamma 90.00
loop_
_atom_site_label
_atom_site_fract_x
_atom_site_fract_y
_atom_site_fract_z
Hg1 0.000 0.000 0.500
P1 0.500 0.500 0.500
W1 0.000 0.000 0.000
# Crystal system = cubic
# D(E_F) = 3.06 states/eV/f.u.
# E = -0.197 Ry/atom



# LiCa2Bi2 | Alexandria via LeMat-Bulk | PBEsol | relaxed
data_LiCa2Bi2
_chemical_formula_sum 'Li2 Ca4 Bi4'
_space_group_name_H-M_alt 'P 4/m b m'
_space_group_IT_number 127
_space_group_name_Hall '-P 4 2ab'
_cell_length_a 9.016
_cell_length_b 9.016
_cell_length_c 3.755
_cell_angle_alpha 90.00
_cell_angle_beta 90.00
_cell_angle_gamma 90.00
loop_
_atom_site_label
_atom_site_fract_x
_atom_site_fract_y
_atom_site_fract_z
Li1 0.000 0.000 0.000
Ca1 0.136 0.364 0.500
Bi1 0.166 0.666 0.000
# Crystal system = tetragonal
# D(E_F) = 0.78 states/eV/f.u.
# E = -0.266 Ry/atom



# InRu3N | Alexandria via LeMat-Bulk | PBEsol | relaxed
data_InRu3N
_chemical_formula_sum 'In1 Ru3 N1'
_space_group_name_H-M_alt 'P m -3 m'
_space_group_IT_number 221
_space_group_name_Hall '-P 4 2 3'
_cell_length_a 4.037
_cell_length_b 4.037
_cell_length_c 4.037
_cell_angle_alpha 90.00
_cell_angle_beta 90.00
_cell_angle_gamma 90.00
loop_
_atom_site_label
_atom_site_fract_x
_atom_site_fract_y
_atom_site_fract_z
In1 0.000 0.000 0.000
Ru1 0.000 0.500 0.500
N1 0.500 0.500 0.500
# Crystal system = cubic
# D(E_F) = 2.97 states/eV/f.u.
# Formation energy without anion corrections = 0.0302 eV/atom



# BaY2Te | Alexandria via LeMat-Bulk | PBEsol | relaxed
data_BaY2Te
_chemical_formula_sum 'Ba3 Y6 Te3'
_space_group_name_H-M_alt 'R -3 m'
_space_group_IT_number 166
_space_group_name_Hall '-R 3 2"'
_cell_length_a 4.0005
_cell_length_b 4.0005
_cell_length_c 30.9571
_cell_angle_alpha 90.00
_cell_angle_beta 90.00
_cell_angle_gamma 120.00
loop_
_atom_site_label
_atom_site_fract_x
_atom_site_fract_y
_atom_site_fract_z
Ba1 0.0000 0.0000 0.0000
Y1 0.0000 0.0000 0.2283
Te1 0.0000 0.0000 0.5000
# Crystal system = trigonal
# D(E_F) = 3.37 states/eV/f.u.
# Formation energy without anion corrections = -0.5153 eV/atom